1.
GeTe2CI: relaxed, PBE-GGA.

extended XYZ file:
```
5
Lattice="5.4822 0.0000 0.0000 0.0000 5.4822 0.0000 0.0000 0.0000 5.6526" Properties=species:S:1:pos:R:3 pbc="T T T"
I 0.0000 0.0000 2.8263
Ge 0.0000 0.0000 0.0000
Te 0.0000 2.7411 0.0000
Te 2.7411 0.0000 0.0000
C 2.7411 2.7411 2.8263
```

SG	P4/mmm
final energy	-12.878	eV per cell
ΔE to the lowest computed polymorph	0.6815	eV/atom


2.
LiPr2Cd16: relaxed, PBE-GGA.

extended XYZ file:
```
19
Lattice="-3.5737 6.3537 2.3838 0.7328 -1.1567 7.5464 6.2224 4.3406 1.1240" Properties=species:S:1:pos:R:3 pbc="T T T"
Li 3.0715 8.6632 10.0409
Pr 2.2505 6.3475 7.3569
Pr 1.1289 3.1840 3.6904
Cd 0.0478 4.5873 9.5511
Cd 1.0185 9.0646 5.3911
Cd 5.6859 5.3930 7.1312
Cd -1.2290 6.8140 8.0205
Cd 3.9229 8.4678 5.0176
Cd 4.0583 3.7631 9.0353
Cd 1.5660 2.8359 7.6456
Cd -0.5462 6.5194 5.1136
Cd 4.2584 5.5321 4.4957
Cd 1.8086 6.6242 3.4790
Cd 3.8432 3.0760 5.9181
Cd -0.7849 4.0271 6.5132
Cd 2.9948 9.9644 7.3652
Cd 5.0221 6.4288 9.7956
Cd 0.4104 7.3764 10.3886
Cd 0.3592 1.0132 1.1743
```

SG	R3m
E_form	-0.18	eV per atom
final energy	-29.614	eV per cell


3.
TcPSe3: relaxed, PBE-GGA.

extended XYZ file:
```
5
Lattice="4.6710 0.0000 0.0000 0.0000 4.6710 0.0000 0.0000 0.0000 4.6710" Properties=species:S:1:pos:R:3 pbc="T T T"
P 0.0000 0.0000 0.0000
Tc 2.3355 2.3355 2.3355
Se 0.0000 2.3355 0.0000
Se 0.0000 0.0000 2.3355
Se 2.3355 0.0000 0.0000
```

SG	Pm-3m
final energy	-20.776	eV per cell
ΔE to the lowest computed polymorph	0.3538	eV/atom


- The highest final energy belongs to which entry?
  GeTe2CI